YMn2Cl | GGA-PBE | relaxed

Computed properties:
excess energy over the best structure of this formula in the dataset = 293 meV per atom
calculated total energy = -6.623 eV per atom
crystal system = orthorhombic
total magnetization = 7.20 μB per formula unit
uncorrected formation energy = 0.16 eV/f.u.

```
YMn2Cl
1.0
3.1598 0.0000 0.0000
0.0000 4.5963 0.0000
0.0000 0.0000 5.4737
Y Mn Cl
1 2 1
direct
0.0000 0.0000 0.0000
0.0000 0.5000 0.5000
0.5000 0.0000 0.5000
0.5000 0.5000 0.0000
```